Record 1
# K3BePt PBE-GGA optimized geometry
# Energy of formation = 3.2 eV/f.u.
# Energy above the lowest structure with this stoichiometry = 0.0000 eV per atom
# Space group = Pm-3m
data_K3BePt
_space_group_name_H-M_alt 'P 1'
_space_group_IT_number 1
_cell_length_a 6.158
_cell_length_b 6.158
_cell_length_c 6.158
_cell_angle_alpha 90.00
_cell_angle_beta 90.00
_cell_angle_gamma 90.00
loop_
_space_group_symop_operation_xyz
'x,y,z'
loop_
_atom_site_label
_atom_site_fract_x
_atom_site_fract_y
_atom_site_fract_z
K1 0.000 0.000 0.500
Be1 0.500 0.500 0.500
K2 0.500 0.000 0.000
Pt1 0.000 0.000 0.000
K3 0.000 0.500 0.000

---

Record 2
# BeAsAu PBE-GGA optimized geometry
# Energy of formation = -0.1 eV/f.u.
# Space group = P1
data_BeAsAu
_space_group_name_H-M_alt 'P 1'
_space_group_IT_number 1
_cell_length_a 5.743
_cell_length_b 4.497
_cell_length_c 4.061
_cell_angle_alpha 88.88
_cell_angle_beta 90.04
_cell_angle_gamma 89.85
loop_
_space_group_symop_operation_xyz
'x,y,z'
loop_
_atom_site_label
_atom_site_fract_x
_atom_site_fract_y
_atom_site_fract_z
Be1 0.957 0.476 0.981
Au1 0.555 0.276 0.149
As1 0.162 0.459 0.486
Au2 0.054 0.976 0.184
Be2 0.456 0.776 0.349
As2 0.661 0.792 0.845

---

Record 3
# DyAl2Zn3 PBE-GGA optimized geometry
# Energy of formation = -1.4 eV/f.u.
# Space group = P-3m1
data_DyAl2Zn3
_space_group_name_H-M_alt 'P 1'
_space_group_IT_number 1
_cell_length_a 4.369
_cell_length_b 4.369
_cell_length_c 6.568
_cell_angle_alpha 90.00
_cell_angle_beta 90.00
_cell_angle_gamma 120.00
loop_
_space_group_symop_operation_xyz
'x,y,z'
loop_
_atom_site_label
_atom_site_fract_x
_atom_site_fract_y
_atom_site_fract_z
Al1 0.667 0.333 0.291
Zn1 0.667 0.333 0.739
Al2 0.333 0.667 0.709
Zn2 0.333 0.667 0.261
Dy1 0.000 0.000 0.000
Zn3 0.000 0.000 0.500

---

Record 4
# Y4Si2H PBE-GGA optimized geometry
# Energy above the lowest structure with this stoichiometry = 0.0319 eV per atom
# Space group = I4/mmm
data_Y4Si2H
_space_group_name_H-M_alt 'P 1'
_space_group_IT_number 1
_cell_length_a 4.404
_cell_length_b 4.404
_cell_length_c 8.498
_cell_angle_alpha 74.98
_cell_angle_beta 74.98
_cell_angle_gamma 90.00
loop_
_space_group_symop_operation_xyz
'x,y,z'
loop_
_atom_site_label
_atom_site_fract_x
_atom_site_fract_y
_atom_site_fract_z
Y1 0.500 0.000 0.000
H1 0.000 0.000 0.000
Y2 0.181 0.181 0.637
Si1 0.366 0.366 0.268
Si2 0.634 0.634 0.732
Y3 0.000 0.500 0.000
Y4 0.819 0.819 0.363

---

no.,magnetic moment (μB/f.u.),density of states at the Fermi level (states/eV/atom)
1,1.0,0.78
2,0.0,0.08
3,0.0,0.40
4,0.0,0.96